Compound: CoNi2Pb
Source: Alexandria via LeMat-Bulk
Functional: PBE-GGA
Structure: relaxed

```
CoNi2Pb
1.0
3.205 0.000 0.000
0.000 3.205 0.000
0.000 0.000 5.657
Co Ni Pb
1 2 1
direct
0.500 0.500 0.750 Co
0.000 0.000 0.959 Ni
0.000 0.000 0.541 Ni
0.500 0.500 0.250 Pb
```

volume	58.1	Å³ per cell
calculated formation energy	0.35	eV/atom
space group	No. 123